Here is a relaxed structure of YNbB2 from Alexandria. Energies are from GGA-PBE.

calculated total energy: -28.099 eV per cell
offset from the most stable computed form: 0 meV per atom
energy of formation from the pure elements: 10.3 kcal/mol of atoms
total moment: 0.000 μB/f.u.

Unit cell a=4.3129 b=4.3129 c=4.3129 alpha=60.00 beta=60.00 gamma=60.00
Sites, in units of the cell vectors:
Y 0.0000 0.0000 0.0000
Nb 0.5000 0.5000 0.5000
B 0.2500 0.2500 0.2500
B 0.7500 0.7500 0.7500